# SbPtW

A geometry-optimized SbPtW structure (PBE, Alexandria via LeMat-Bulk).

**Distance to the lowest polymorph of the same formula**: 98 meV/atom
**Energy relative to the elements, uncorrected**: 0.383 eV per atom
**Density of states at the Fermi level**: 1.17 states/eV/atom
**Energy**: -7.323 eV/atom

a b c (Å): 4.462 4.462 4.462
angles (deg): 60.00 60.00 60.00
Each line ends with the local moment (μB).
Sites, in units of the cell vectors:
Pt: 0.000 0.000 0.000  0.04
Sb: 0.500 0.500 0.500  0.00
W: 0.750 0.750 0.750  0.41